Density functional theory data (GGA-PBE) for LiCa2CdPt after structural relaxation.

Calculated values
energy of formation: -393 meV per atom
calculated density: 4.48 g/cm³
E_tot: -2.967 eV per atom
E above lowest polymorph: 0 meV per atom
symmetry: P4/mmm

a = 5.524 Å, b = 5.524 Å, c = 4.797 Å
α = 90.00°, β = 90.00°, γ = 90.00°
Atoms (fractional coordinates):
1 Ca 0.000 0.500 0.000
2 Ca 0.500 0.000 0.000
3 Li 0.000 0.000 0.500
4 Pt 0.000 0.000 0.000
5 Cd 0.500 0.500 0.500